[1]
Below is a geometry-optimized BaTmPt structure, with properties calculated at the PBE level.

Unit cell a=5.0089 b=5.0089 c=5.0089 alpha=60.00 beta=60.00 gamma=60.00
Last column: nearest neighbours and their distance in Å.
Sites, in units of the cell vectors:
Ba  0.0000  0.0000  0.0000  4 Tm 3.07, 4 Pt 3.07
Tm  0.2500  0.2500  0.2500  4 Ba 3.07
Pt  0.7500  0.7500  0.7500  4 Ba 3.07

Calculated values
The value obtained for the total moment is 0.0 Bohr magnetons per cell. Its crystal system is cubic. As for the excess energy over the best structure of this formula in the dataset: 877 meV/atom. As for the space group: F-43m (216). For the calculated volume, the calculation gives 29.6 A^3/atom.

[2]
Below is a geometry-optimized BaTmPt structure, with properties calculated at the PBE level.

Unit cell a=5.1218 b=5.1218 c=5.1218 alpha=60.00 beta=60.00 gamma=60.00
Last column: nearest neighbours and their distance in Å.
Sites, in units of the cell vectors:
Ba  0.0000  0.0000  0.0000  4 Pt 3.14
Tm  0.5000  0.5000  0.5000  4 Pt 3.14
Pt  0.2500  0.2500  0.2500  4 Tm 3.14, 4 Ba 3.14

Calculated values
The value obtained for the total moment is 0.0 Bohr magnetons per cell. Its crystal system is cubic. As for the excess energy over the best structure of this formula in the dataset: 0 meV/atom. As for the space group: F-43m (216). For the calculated volume, the calculation gives 31.7 A^3/atom.

[3]
Below is a geometry-optimized BaUPt structure, with properties calculated at the PBE level.

Unit cell a=4.9198 b=4.9198 c=4.9198 alpha=60.00 beta=60.00 gamma=60.00
Last column: nearest neighbours and their distance in Å.
Sites, in units of the cell vectors:
Ba  0.0000  0.0000  0.0000  4 U 3.01
U  0.2500  0.2500  0.2500  4 Ba 3.01, 4 Pt 3.01
Pt  0.5000  0.5000  0.5000  4 U 3.01

Calculated values
The value obtained for the total moment is 2.6 Bohr magnetons per cell. Its crystal system is cubic. As for the excess energy over the best structure of this formula in the dataset: 0 meV/atom. As for the space group: F-43m (216). For the calculated volume, the calculation gives 28.1 A^3/atom.

[4]
Below is a geometry-optimized Ba2Pt2W3 structure, with properties calculated at the PBE level.

Unit cell a=11.4424 b=11.4424 c=11.4424 alpha=21.88 beta=21.88 gamma=21.88
Last column: nearest neighbours and their distance in Å.
Sites, in units of the cell vectors:
Ba  0.0000  0.0000  0.0000  3 Pt 3.14
Ba  0.4479  0.4479  0.4479  6 Pt 3.17-3.36
Pt  0.1814  0.1814  0.1814  4 W 2.62-2.67
Pt  0.7231  0.7231  0.7231  6 Ba 3.14-3.17
W  0.2596  0.2596  0.2596  1 Pt 2.62, 3 W 2.62
W  0.5704  0.5704  0.5704  6 W 2.62-2.69
W  0.8751  0.8751  0.8751  3 Pt 2.67, 3 W 2.69

Calculated values
The value obtained for the total moment is 0.3 Bohr magnetons per cell. Its crystal system is trigonal. As for the space group: R3m (160). For the calculated volume, the calculation gives 26.1 A^3/atom.

[5]
Below is a geometry-optimized BaYPt2 structure, with properties calculated at the PBE level.

Unit cell a=5.0051 b=5.0051 c=5.0051 alpha=60.00 beta=60.00 gamma=60.00
Last column: nearest neighbours and their distance in Å.
Sites, in units of the cell vectors:
Ba  0.0000  0.0000  0.0000  4 Pt 3.06, 4 Y 3.06
Y  0.7500  0.7500  0.7500  4 Ba 3.06, 4 Pt 3.06
Pt  0.2500  0.2500  0.2500  4 Ba 3.06, 4 Pt 3.06
Pt  0.5000  0.5000  0.5000  4 Pt 3.06, 4 Y 3.06

Calculated values
The value obtained for the total moment is 0.0 Bohr magnetons per cell. Its crystal system is cubic. As for the space group: F-43m (216). For the calculated volume, the calculation gives 22.2 A^3/atom.

[6]
Below is a geometry-optimized BaYPt structure, with properties calculated at the PBE level.

Unit cell a=5.1498 b=5.1498 c=5.1498 alpha=60.00 beta=60.00 gamma=60.00
Last column: nearest neighbours and their distance in Å.
Sites, in units of the cell vectors:
Ba  0.0000  0.0000  0.0000  4 Pt 3.15
Y  0.5000  0.5000  0.5000  4 Pt 3.15
Pt  0.2500  0.2500  0.2500  4 Ba 3.15, 4 Y 3.15

Calculated values
The value obtained for the total moment is 0.0 Bohr magnetons per cell. Its crystal system is cubic. As for the excess energy over the best structure of this formula in the dataset: 0 meV/atom. As for the space group: F-43m (216). For the calculated volume, the calculation gives 32.2 A^3/atom.

Number 1: E_tot -3.7276 eV per atom. Number 2: E_tot -4.6044 eV per atom. Number 3: E_tot -5.9133 eV per atom. Number 4: E_tot -7.6079 eV per atom. Number 5: E_tot -5.4967 eV per atom. Number 6: E_tot -5.2698 eV per atom.